# 1
! Ba2BeCo | Alexandria | GGA-PBE | relaxed; values from VASP
! - SG = Imm2
! - V (Å³ per cell) = 140.7
! - total magnetization (μB/f.u.) = 0.3
! - E_tot (eV per cell) = -13.339
! - formation enthalpy at 0 K (kJ per mole of atoms) = 32.3
&SYSTEM
  ibrav = 0, nat = 4, ntyp = 3
/
ATOMIC_SPECIES
Ba 137.33 Ba.upf
Be 9.01 Be.upf
Co 58.93 Co.upf
CELL_PARAMETERS angstrom
-2.045 2.182 7.885
2.045 -2.182 7.885
2.045 2.182 -7.885
ATOMIC_POSITIONS crystal
Ba 0.000 0.000 0.000
Ba 0.765 0.265 0.500
Be 0.409 0.409 0.000
Co 0.369 0.869 0.500

# 2
! BaBeCo2 | Alexandria | GGA-PBE | relaxed; values from VASP
! - SG = Pm
! - V (Å³ per cell) = 83.1
! - total magnetization (μB/f.u.) = 2.0
! - E_tot (eV per cell) = -18.081
! - formation enthalpy at 0 K (kJ per mole of atoms) = 42.9
&SYSTEM
  ibrav = 0, nat = 4, ntyp = 3
/
ATOMIC_SPECIES
Ba 137.33 Ba.upf
Be 9.01 Be.upf
Co 58.93 Co.upf
CELL_PARAMETERS angstrom
4.073 0.000 0.000
0.000 3.913 0.000
-0.945 0.000 5.211
ATOMIC_POSITIONS crystal
Ba 0.000 0.000 0.000
Be 0.342 0.500 0.589
Co 0.529 0.000 0.482
Co 0.814 0.500 0.474